DFT (GGA-PBE) results for LaMg6Al after structural relaxation.

Structure (CIF):
```
data_LaMg6Al
_cell_length_a 7.370
_cell_length_b 7.370
_cell_length_c 4.811
_cell_angle_alpha 90.00
_cell_angle_beta 90.00
_cell_angle_gamma 130.08
_space_group_name_H-M_alt 'P 1'
_space_group_IT_number 1
loop_
_space_group_symop_operation_xyz
'x,y,z'
loop_
_atom_site_label
_atom_site_type_symbol
_atom_site_fract_x
_atom_site_fract_y
_atom_site_fract_z
La1 La 0.292 0.708 0.500
Mg1 Mg 0.191 0.321 0.000
Mg2 Mg 0.679 0.809 0.000
Mg3 Mg 0.707 0.293 0.000
Mg4 Mg 0.325 0.188 0.500
Mg5 Mg 0.812 0.675 0.500
Mg6 Mg 0.865 0.135 0.500
Al1 Al 0.130 0.870 0.000
```

Results
Space group: Amm2 (38)
Offset from the most stable computed form, kJ/mol of formula units: 4

DFT (GGA-PBE) results for La3MgAl2 after structural relaxation.

Structure (CIF):
```
data_La3MgAl2
_cell_length_a 3.797
_cell_length_b 3.797
_cell_length_c 11.916
_cell_angle_alpha 90.00
_cell_angle_beta 90.00
_cell_angle_gamma 90.00
_space_group_name_H-M_alt 'P 1'
_space_group_IT_number 1
loop_
_space_group_symop_operation_xyz
'x,y,z'
loop_
_atom_site_label
_atom_site_type_symbol
_atom_site_fract_x
_atom_site_fract_y
_atom_site_fract_z
La1 La 0.000 0.000 0.000
La2 La 0.000 0.000 0.681
La3 La 0.000 0.000 0.319
Mg1 Mg 0.500 0.500 0.500
Al1 Al 0.500 0.500 0.836
Al2 Al 0.500 0.500 0.164
```

Results
Space group: P4/mmm (123)
Offset from the most stable computed form, kJ/mol of formula units: 6

DFT (GGA-PBE) results for La2MgAl3 after structural relaxation.

Structure (CIF):
```
data_La2MgAl3
_cell_length_a 5.936
_cell_length_b 5.936
_cell_length_c 9.296
_cell_angle_alpha 90.00
_cell_angle_beta 90.00
_cell_angle_gamma 120.00
_space_group_name_H-M_alt 'P 1'
_space_group_IT_number 1
loop_
_space_group_symop_operation_xyz
'x,y,z'
loop_
_atom_site_label
_atom_site_type_symbol
_atom_site_fract_x
_atom_site_fract_y
_atom_site_fract_z
La1 La 0.667 0.333 0.422
La2 La 0.333 0.667 0.578
La3 La 0.333 0.667 0.922
La4 La 0.667 0.333 0.078
Mg1 Mg 0.000 0.000 0.500
Mg2 Mg 0.000 0.000 0.000
Al1 Al 0.176 0.351 0.250
Al2 Al 0.351 0.176 0.750
Al3 Al 0.824 0.649 0.750
Al4 Al 0.176 0.824 0.250
Al5 Al 0.824 0.176 0.750
Al6 Al 0.649 0.824 0.250
```

Results
Space group: P6_3/mmc (194)
Offset from the most stable computed form, kJ/mol of formula units: 1

DFT (GGA-PBE) results for LaMgAl after structural relaxation.

Structure (CIF):
```
data_LaMgAl
_cell_length_a 3.259
_cell_length_b 3.259
_cell_length_c 8.248
_cell_angle_alpha 90.00
_cell_angle_beta 90.00
_cell_angle_gamma 120.00
_space_group_name_H-M_alt 'P 1'
_space_group_IT_number 1
loop_
_space_group_symop_operation_xyz
'x,y,z'
loop_
_atom_site_label
_atom_site_type_symbol
_atom_site_fract_x
_atom_site_fract_y
_atom_site_fract_z
Al1 Al 0.000 0.000 0.986
La1 La 0.333 0.667 0.317
Mg1 Mg 0.667 0.333 0.697
```

Results
Space group: P3m1 (156)

DFT (GGA-PBE) results for LaMg8Al4 after structural relaxation.

Structure (CIF):
```
data_LaMg8Al4
_cell_length_a 7.599
_cell_length_b 7.599
_cell_length_c 7.599
_cell_angle_alpha 98.10
_cell_angle_beta 98.10
_cell_angle_gamma 135.89
_space_group_name_H-M_alt 'P 1'
_space_group_IT_number 1
loop_
_space_group_symop_operation_xyz
'x,y,z'
loop_
_atom_site_label
_atom_site_type_symbol
_atom_site_fract_x
_atom_site_fract_y
_atom_site_fract_z
La1 La 0.000 0.000 0.000
Mg1 Mg 0.286 0.500 0.786
Mg2 Mg 0.714 0.500 0.214
Mg3 Mg 0.500 0.286 0.786
Mg4 Mg 0.500 0.714 0.214
Mg5 Mg 0.351 0.000 0.351
Mg6 Mg 0.649 0.000 0.649
Mg7 Mg 0.000 0.351 0.351
Mg8 Mg 0.000 0.649 0.649
Al1 Al 0.500 0.500 0.500
Al2 Al 0.000 0.000 0.500
Al3 Al 0.000 0.500 0.000
Al4 Al 0.500 0.000 0.000
```

Results
Space group: I4/mmm (139)

DFT (GGA-PBE) results for LaMgAl after structural relaxation.

Structure (CIF):
```
data_LaMgAl
_cell_length_a 6.178
_cell_length_b 4.496
_cell_length_c 8.500
_cell_angle_alpha 74.68
_cell_angle_beta 59.75
_cell_angle_gamma 111.34
_space_group_name_H-M_alt 'P 1'
_space_group_IT_number 1
loop_
_space_group_symop_operation_xyz
'x,y,z'
loop_
_atom_site_label
_atom_site_type_symbol
_atom_site_fract_x
_atom_site_fract_y
_atom_site_fract_z
Mg1 Mg 0.595 0.590 0.999
Mg2 Mg 0.144 0.731 0.265
Al1 Al 0.073 0.070 0.517
Al2 Al 0.015 0.427 0.745
La1 La 0.430 0.136 0.745
La2 La 0.714 0.015 0.267
```

Results
Space group: Cm (8)

DFT (GGA-PBE) results for LaMgAl after structural relaxation.

Structure (CIF):
```
data_LaMgAl
_cell_length_a 6.671
_cell_length_b 4.859
_cell_length_c 9.406
_cell_angle_alpha 90.00
_cell_angle_beta 90.00
_cell_angle_gamma 90.00
_space_group_name_H-M_alt 'P 1'
_space_group_IT_number 1
loop_
_space_group_symop_operation_xyz
'x,y,z'
loop_
_atom_site_label
_atom_site_type_symbol
_atom_site_fract_x
_atom_site_fract_y
_atom_site_fract_z
Mg1 Mg 0.857 0.250 0.412
Mg2 Mg 0.643 0.750 0.912
Mg3 Mg 0.143 0.750 0.588
Mg4 Mg 0.357 0.250 0.088
Al1 Al 0.941 0.250 0.732
Al2 Al 0.559 0.750 0.232
Al3 Al 0.059 0.750 0.268
Al4 Al 0.441 0.250 0.768
La1 La 0.330 0.250 0.418
La2 La 0.170 0.750 0.918
La3 La 0.670 0.750 0.582
La4 La 0.830 0.250 0.082
```

Results
Space group: Pnma (62)

DFT (GGA-PBE) results for LaMgAl after structural relaxation.

Structure (CIF):
```
data_LaMgAl
_cell_length_a 4.697
_cell_length_b 6.160
_cell_length_c 5.981
_cell_angle_alpha 93.86
_cell_angle_beta 90.06
_cell_angle_gamma 112.38
_space_group_name_H-M_alt 'P 1'
_space_group_IT_number 1
loop_
_space_group_symop_operation_xyz
'x,y,z'
loop_
_atom_site_label
_atom_site_type_symbol
_atom_site_fract_x
_atom_site_fract_y
_atom_site_fract_z
Mg1 Mg 0.921 0.636 0.861
Mg2 Mg 0.921 0.636 0.361
Al1 Al 0.334 0.462 0.140
Al2 Al 0.509 0.811 0.582
La1 La 0.217 0.228 0.622
La2 La 0.625 0.044 0.101
```

Results
Space group: P-1 (2)

DFT (GGA-PBE) results for La6Mg22Al after structural relaxation.

Structure (CIF):
```
data_La6Mg22Al
_cell_length_a 10.265
_cell_length_b 10.265
_cell_length_c 10.265
_cell_angle_alpha 60.00
_cell_angle_beta 60.00
_cell_angle_gamma 60.00
_space_group_name_H-M_alt 'P 1'
_space_group_IT_number 1
loop_
_space_group_symop_operation_xyz
'x,y,z'
loop_
_atom_site_label
_atom_site_type_symbol
_atom_site_fract_x
_atom_site_fract_y
_atom_site_fract_z
Al1 Al 0.500 0.500 0.500
La1 La 0.201 0.799 0.201
La2 La 0.799 0.201 0.799
La3 La 0.201 0.201 0.799
La4 La 0.799 0.799 0.201
La5 La 0.799 0.201 0.201
La6 La 0.201 0.799 0.799
Mg1 Mg 0.000 0.500 0.000
Mg2 Mg 0.500 0.000 0.500
Mg3 Mg 0.000 0.000 0.500
Mg4 Mg 0.500 0.500 0.000
Mg5 Mg 0.500 0.000 0.000
Mg6 Mg 0.000 0.500 0.500
Mg7 Mg 0.381 0.381 0.381
Mg8 Mg 0.856 0.381 0.381
Mg9 Mg 0.381 0.381 0.856
Mg10 Mg 0.381 0.856 0.381
Mg11 Mg 0.144 0.619 0.619
Mg12 Mg 0.619 0.619 0.619
Mg13 Mg 0.619 0.619 0.144
Mg14 Mg 0.619 0.144 0.619
Mg15 Mg 0.172 0.172 0.172
Mg16 Mg 0.485 0.172 0.172
Mg17 Mg 0.172 0.172 0.485
Mg18 Mg 0.172 0.485 0.172
Mg19 Mg 0.515 0.828 0.828
Mg20 Mg 0.828 0.828 0.828
Mg21 Mg 0.828 0.828 0.515
Mg22 Mg 0.828 0.515 0.828
```

Results
Space group: Fm-3m (225)

DFT (GGA-PBE) results for LaMgMnAl2 after structural relaxation.

Structure (CIF):
```
data_LaMgMnAl2
_cell_length_a 4.676
_cell_length_b 4.676
_cell_length_c 4.850
_cell_angle_alpha 90.00
_cell_angle_beta 90.00
_cell_angle_gamma 90.00
_space_group_name_H-M_alt 'P 1'
_space_group_IT_number 1
loop_
_space_group_symop_operation_xyz
'x,y,z'
loop_
_atom_site_label
_atom_site_type_symbol
_atom_site_fract_x
_atom_site_fract_y
_atom_site_fract_z
Mg1 Mg 0.000 0.000 0.500
Mn1 Mn 0.000 0.000 0.000
Al1 Al 0.000 0.500 0.000
Al2 Al 0.500 0.000 0.000
La1 La 0.500 0.500 0.500
```

Results
Space group: P4/mmm (123)

Number 1: final energy -2.30 eV per atom, spin magnetization 0.000 μB/cell. Number 2: final energy -4.25 eV per atom, spin magnetization 0.000 μB/cell. Number 3: final energy -4.19 eV per atom, spin magnetization 0.000 μB/cell. Number 4: final energy -3.37 eV per atom, spin magnetization 0.000 μB/cell. Number 5: final energy -2.63 eV per atom, spin magnetization 0.000 μB/cell. Number 6: final energy -3.62 eV per atom, spin magnetization 0.000 μB/cell. Number 7: final energy -3.58 eV per atom, spin magnetization 0.000 μB/cell. Number 8: final energy -3.61 eV per atom, spin magnetization 0.000 μB/cell. Number 9: final energy -2.45 eV per atom, spin magnetization 0.002 μB/cell. Number 10: final energy -4.75 eV per atom, spin magnetization 0.000 μB/cell.